[1]
Compound: AcTm2Tl2Zn2
Source: Alexandria
Functional: PBE
Structure: optimized geometry

Output
The value obtained for the total magnetic moment is 0.00 μB/f.u. The crystal system is trigonal. Its symmetry is R-3m, No. 166. Its density is 9.681 g/cm3. As for the formation energy: -196 meV/atom.

Unit cell a=4.887 b=4.887 c=9.585 alpha=75.23 beta=75.23 gamma=60.00
Atoms (fractional coordinates):
Ac 0.000 0.000 0.000
Tm 0.136 0.136 0.592
Tm 0.864 0.864 0.408
Tl 0.742 0.742 0.774
Tl 0.258 0.258 0.226
Zn 0.554 0.554 0.339
Zn 0.446 0.446 0.661



[2]
Compound: LaPaCO
Source: Alexandria
Functional: PBE
Structure: optimized geometry

Output
The value obtained for the total magnetic moment is 0.00 μB/f.u. The crystal system is tetragonal. For the formation energy without anion corrections, the calculation gives -1.3200 eV per atom. Its symmetry is P4/nmm, No. 129. Its density is 8.603 g/cm3.

Unit cell a=4.120 b=4.120 c=9.051 alpha=90.00 beta=90.00 gamma=90.00
Atoms (fractional coordinates):
La 0.500 0.000 0.632
La 0.000 0.500 0.368
Pa 0.500 0.500 0.000
Pa 0.000 0.000 0.000
C 0.000 0.500 0.853
C 0.500 0.000 0.147
O 0.000 0.000 0.500
O 0.500 0.500 0.500